# 1
Here is crystalline CaTlGe2 at its relaxed geometry from Alexandria via LeMat-Bulk. Energies are from GGA-PBE.

Summary:
DOS at the Fermi energy in states/eV/cell: 7.005
Magnetic moment in μB/cell: 0.0
V in Å³/atom: 25.5
Space group: No. 122
Formation energy from the elements in kcal/mol of atoms: 0.08

a = 6.511 Å, b = 6.511 Å, c = 6.511 Å
α = 103.31°, β = 103.31°, γ = 122.65°
Sites, in units of the cell vectors:
Ca: 0.000 0.000 0.000
Ca: 0.750 0.250 0.500
Tl: 0.250 0.750 0.500
Tl: 0.500 0.500 0.000
Ge: 0.154 0.125 0.529
Ge: 0.375 0.846 0.971
Ge: 0.596 0.625 0.471
Ge: 0.875 0.404 0.029



# 2
Here is crystalline OsPb at its relaxed geometry from Alexandria via LeMat-Bulk. Energies are from GGA-PBE.

Summary:
DOS at the Fermi energy in states/eV/cell: 8.547
Magnetic moment in μB/cell: 0.0
V in Å³/atom: 21.8
Space group: No. 19
Formation energy from the elements in kcal/mol of atoms: 16.06

a = 6.530 Å, b = 7.189 Å, c = 7.445 Å
α = 90.00°, β = 90.00°, γ = 90.00°
Sites, in units of the cell vectors:
Os: 0.071 0.074 0.082
Os: 0.164 0.842 0.341
Os: 0.336 0.158 0.841
Os: 0.429 0.926 0.582
Os: 0.571 0.426 0.918
Os: 0.664 0.658 0.659
Os: 0.836 0.342 0.159
Os: 0.929 0.574 0.418
Pb: 0.078 0.804 0.754
Pb: 0.171 0.559 0.060
Pb: 0.329 0.441 0.560
Pb: 0.422 0.196 0.254
Pb: 0.578 0.696 0.246
Pb: 0.671 0.941 0.940
Pb: 0.829 0.059 0.440
Pb: 0.922 0.304 0.746



# 3
Here is crystalline RhPbF3 at its relaxed geometry from Alexandria via LeMat-Bulk. Energies are from GGA-PBE.

Summary:
DOS at the Fermi energy in states/eV/cell: 2.507
E_form (uncorrected) in eV/atom: -1.174
Magnetic moment in μB/cell: 0.0
V in Å³/atom: 16.2
Space group: No. 221
Distance to the lowest polymorph of the same formula in eV/atom: 0.000

a = 4.325 Å, b = 4.325 Å, c = 4.325 Å
α = 90.00°, β = 90.00°, γ = 90.00°
Sites, in units of the cell vectors:
Rh: 0.000 0.000 0.000
Pb: 0.500 0.500 0.500
F: 0.000 0.000 0.500
F: 0.000 0.500 0.000
F: 0.500 0.000 0.000